# MnWBr2

MnWBr2 after structural relaxation (PBE, Alexandria). Values from VASP.

Geometry as Quantum ESPRESSO input:
```
&SYSTEM
  ibrav = 0, nat = 8, ntyp = 3
/
ATOMIC_SPECIES
Br 79.90 Br.upf
Mn 54.94 Mn.upf
W 183.84 W.upf
CELL_PARAMETERS angstrom
-4.367 0.429 -3.546
2.240 -4.035 -3.246
-3.641 -5.432 -0.662
ATOMIC_POSITIONS angstrom
Br -4.648 -7.129 -6.359
Br -3.473 -5.527 -3.125
Br -3.251 -1.605 -2.700
Br -0.165 -3.816 -2.726
Mn -1.232 -5.635 -3.652
Mn -1.064 -1.803 -3.396
W 0.000 0.000 0.000
W -4.536 -3.403 -3.803
```

Computed properties:
DOS at the Fermi energy (states/eV per atom): 0.84
Calculated volume (Å³/atom): 20.8
Energy relative to the lowest polymorph listed for this composition (eV per atom): 1.257
Energy relative to the elements, uncorrected (eV per atom): 1.4129
Crystal system: tetragonal